[1]
# HfMnCo

An optimized crystal structure of HfMnCo (PBE, Alexandria).

abc: 3.1230 4.3227 6.8659
angles: 90.00 103.15 90.00
Each line ends with the local moment (μB).
Fractional positions:
Mn: 0.7674 0.7500 0.5349  3.17
Mn: 0.2326 0.2500 0.4651  3.17
Hf: 0.0888 0.7500 0.1776  -0.22
Hf: 0.9112 0.2500 0.8224  -0.22
Co: 0.5771 0.2500 0.1542  0.87
Co: 0.4229 0.7500 0.8458  0.87

Computed properties:
Space-group type: Cmcm
Volume in Å³/atom: 15.04
ΔE to the lowest computed polymorph in meV/atom: 160
Crystal system: orthorhombic
Energy of formation from the pure elements in kJ/mol of atoms: -15

---

[2]
# V2Ni2Rh

An optimized crystal structure of V2Ni2Rh (PBE, Alexandria).

abc: 6.9177 6.9177 2.6751
angles: 90.00 90.00 90.00
Fractional positions:
V: 0.8790 0.6210 0.0000
V: 0.6210 0.1210 0.0000
V: 0.1210 0.3790 0.0000
V: 0.3790 0.8790 0.0000
Rh: 0.0000 0.0000 0.0000
Rh: 0.5000 0.5000 0.0000
Ni: 0.6764 0.8236 0.5000
Ni: 0.3236 0.1764 0.5000
Ni: 0.1764 0.6764 0.5000
Ni: 0.8236 0.3236 0.5000

Computed properties:
Space-group type: P4/mbm
Volume in Å³/atom: 12.80
ΔE to the lowest computed polymorph in meV/atom: 254
Crystal system: tetragonal
Energy of formation from the pure elements in kJ/mol of atoms: 4

---

[3]
# LiLa2CeS4

An optimized crystal structure of LiLa2CeS4 (PBE, Alexandria).

abc: 4.0858 7.0518 7.0185
angles: 109.64 90.00 90.00
Each line ends with the local moment (μB).
Fractional positions:
Ce: 0.5000 0.5000 0.0000  0.82
Li: 0.0000 0.0000 0.0000  0.00
S: 0.5000 0.2434 0.2378  -0.01
S: 0.5000 0.7566 0.7622  -0.01
S: 0.0000 0.7516 0.2379  -0.01
S: 0.0000 0.2484 0.7621  -0.01
La: 0.0000 0.5000 0.5000  0.06
La: 0.5000 0.0000 0.5000  0.03

Computed properties:
Space-group type: P2/m
Volume in Å³/atom: 23.81
Final energy in eV/atom: -6.22
Crystal system: monoclinic

---

[4]
# Sc5In6Ag

An optimized crystal structure of Sc5In6Ag (PBE, Alexandria).

abc: 4.5029 8.6583 8.4059
angles: 121.00 105.54 90.00
Each line ends with the local moment (μB).
Fractional positions:
Sc: 0.3347 0.3347 0.6694  0.19
Sc: 0.0000 0.5000 0.0000  0.30
Sc: 0.3396 0.8396 0.6792  0.04
Sc: 0.6653 0.6653 0.3306  0.19
Sc: 0.6604 0.1604 0.3208  0.04
Ag: 0.0000 0.0000 0.0000  0.00
In: 0.5000 0.7514 0.0000  0.00
In: 0.5000 0.2486 0.0000  0.00
In: 0.1682 0.9192 0.3365  0.00
In: 0.8318 0.0808 0.6635  0.00
In: 0.1682 0.4173 0.3365  0.00
In: 0.8318 0.5827 0.6635  0.00

Computed properties:
Space-group type: Immm
Volume in Å³/atom: 22.24
Crystal system: orthorhombic
Energy of formation from the pure elements in kJ/mol of atoms: -35